Record 1
! PBE Sr2In4Ag5, relaxed; values from VASP
! Energy above the most stable polymorph in this dataset: 31 meV per atom
! DFT formation energy: -183 meV per atom
! Volume: 26.01 Å³ per atom
! Magnetic moment: 0.0000 μB/atom
&SYSTEM
  ibrav = 0, nat = 11, ntyp = 3
/
ATOMIC_SPECIES
Sr 87.62 Sr.upf
In 114.82 In.upf
Ag 107.87 Ag.upf
ATOMIC_POSITIONS angstrom
Sr 0.000 2.149 0.000
Sr 0.000 6.552 0.000
In 3.229 2.433 -1.548
In 3.229 2.433 1.548
In 0.000 1.917 3.543
In 0.000 1.917 6.639
Ag 3.229 0.000 0.000
Ag 1.781 0.000 2.511
Ag 4.677 0.000 2.511
Ag -1.448 4.351 2.580
Ag 1.448 4.351 2.580
CELL_PARAMETERS angstrom
-3.229 4.351 5.091
3.229 -4.351 5.091
3.229 4.351 -5.091

---

Record 2
! PBE WC2I, relaxed; values from VASP
! Energy above the most stable polymorph in this dataset: 1242 meV per atom
! ΔE_f (raw): 2.6446 eV/atom
! Volume: 12.36 Å³ per atom
! Magnetic moment: 0.0000 μB/atom
&SYSTEM
  ibrav = 0, nat = 4, ntyp = 3
/
ATOMIC_SPECIES
W 183.84 W.upf
C 12.01 C.upf
I 126.90 I.upf
ATOMIC_POSITIONS angstrom
W 0.000 0.000 0.000
C 1.457 1.457 1.457
C 4.370 4.370 4.370
I 2.913 2.913 2.913
CELL_PARAMETERS angstrom
0.000 2.913 2.913
2.913 0.000 2.913
2.913 2.913 0.000

---

Record 3
! PBE CrAs2Pd, relaxed; values from VASP
! DFT formation energy: 29 meV per atom
! Volume: 16.30 Å³ per atom
! Magnetic moment: 0.8969 μB/atom
&SYSTEM
  ibrav = 0, nat = 4, ntyp = 3
/
ATOMIC_SPECIES
Cr 52.00 Cr.upf
As 74.92 As.upf
Pd 106.42 Pd.upf
ATOMIC_POSITIONS angstrom
Cr 0.000 0.000 0.000
As 1.597 1.597 1.597
As 4.791 4.791 4.791
Pd 3.194 3.194 3.194
CELL_PARAMETERS angstrom
0.000 3.194 3.194
3.194 0.000 3.194
3.194 3.194 0.000